[1]
# GGA-PBE Sc2BeCo2, relaxed
# Energy above the most stable polymorph in this dataset, meV/atom: 0
# ΔH_f (0 K), eV/f.u.: -1.574
data_Sc2BeCo2
_chemical_formula_sum 'Sc8 Be4 Co8'
_symmetry_space_group_name_H-M 'C 1 2/c 1'
_symmetry_Int_Tables_number 15
_cell_length_a 9.0485
_cell_length_b 4.9229
_cell_length_c 6.7253
_cell_angle_alpha 90.00
_cell_angle_beta 103.74
_cell_angle_gamma 90.00
loop_
_symmetry_equiv_pos_as_xyz
'x,y,z'
'-x,-y,-z'
'-x,y,-z+1/2'
'x,-y,z+1/2'
'x+1/2,y+1/2,z'
'-x+1/2,-y+1/2,-z'
'-x+1/2,y+1/2,-z+1/2'
'x+1/2,-y+1/2,z+1/2'
loop_
_atom_site_label
_atom_site_fract_x
_atom_site_fract_y
_atom_site_fract_z
_atom_site_occupancy
Sc1 0.1457 0.1415 0.1460 1
Be1 0.0000 0.3787 0.7500 1
Co1 0.1327 0.3617 0.5069 1

[2]
# GGA-PBE Tb2Ho3Tm8, relaxed
# Energy above the most stable polymorph in this dataset, meV/atom: 19
# ΔH_f (0 K), eV/f.u.: 3.259
data_Tb2Ho3Tm8
_chemical_formula_sum 'Tb4 Ho6 Tm16'
_symmetry_space_group_name_H-M 'C m m m'
_symmetry_Int_Tables_number 65
_symmetry_space_group_name_Hall '-C 2 2'
_cell_length_a 7.4859
_cell_length_b 20.2301
_cell_length_c 5.4969
_cell_angle_alpha 90.00
_cell_angle_beta 90.00
_cell_angle_gamma 90.00
loop_
_atom_site_label
_atom_site_fract_x
_atom_site_fract_y
_atom_site_fract_z
_atom_site_occupancy
Tb1 0.0000 0.2412 0.0000 1
Ho1 0.0000 0.0000 0.0000 1
Ho2 0.2158 0.5000 0.5000 1
Tm1 0.0000 0.1321 0.5000 1
Tm2 0.0000 0.3351 0.5000 1
Tm3 0.2135 0.3912 0.0000 1

[3]
# GGA-PBE SrTcRuO6, relaxed
# Formation energy without anion corrections, eV per atom: -1.620
data_SrTcRuO6
_chemical_formula_sum 'Sr1 Tc1 Ru1 O6'
_symmetry_space_group_name_H-M 'P 3 1 2'
_symmetry_Int_Tables_number 149
_cell_length_a 5.3367
_cell_length_b 5.3367
_cell_length_c 5.2188
_cell_angle_alpha 90.00
_cell_angle_beta 90.00
_cell_angle_gamma 120.00
loop_
_symmetry_equiv_pos_as_xyz
'x,y,z'
'-y,x-y,z'
'-x+y,-x,z'
'-y,-x,-z'
'-x+y,y,-z'
'x,x-y,-z'
loop_
_atom_site_label
_atom_site_fract_x
_atom_site_fract_y
_atom_site_fract_z
_atom_site_occupancy
Sr1 0.0000 0.0000 0.0000 1
Tc1 0.3333 0.6667 0.5000 1
Ru1 0.6667 0.3333 0.5000 1
O1 0.0051 0.3855 0.7007 1

[4]
# GGA-PBE PmHoEr2, relaxed
# Energy above the most stable polymorph in this dataset, meV/atom: 111
# ΔH_f (0 K), eV/f.u.: 0.515
data_PmHoEr2
_chemical_formula_sum 'Pm4 Ho4 Er8'
_symmetry_space_group_name_H-M 'F m -3 m'
_symmetry_Int_Tables_number 225
_symmetry_space_group_name_Hall '-F 4 2 3'
_cell_length_a 7.9966
_cell_length_b 7.9966
_cell_length_c 7.9966
_cell_angle_alpha 90.00
_cell_angle_beta 90.00
_cell_angle_gamma 90.00
loop_
_atom_site_label
_atom_site_fract_x
_atom_site_fract_y
_atom_site_fract_z
_atom_site_occupancy
Pm1 0.0000 0.0000 0.0000 1
Ho1 0.0000 0.0000 0.5000 1
Er1 0.2500 0.2500 0.2500 1

no.,total magnetic moment (μB/atom),Fermi-level density of states (states/eV/f.u.)
1,0.00,3.0
2,0.00,22.9
3,0.11,3.7
4,0.00,7.8